10
Lattice="6.166 0.000 0.000 0.000 6.166 0.000 0.000 0.000 5.127" Properties=species:S:1:pos:R:3 comment="PBE+U Zr2W2F, optimized geometry" space_group=P4/mbm polymorph_energy_mev_per_atom=0 m_tot_mub_per_cell=6.203 total_energy_ry_per_atom=-0.4527 pbc="T T T"
Zr 0.999 2.084 0.000
Zr 2.084 5.166 0.000
Zr 4.082 0.999 0.000
Zr 5.166 4.082 0.000
W 0.936 4.019 2.563
W 2.147 0.936 2.563
W 4.019 5.230 2.563
W 5.230 2.147 2.563
F 0.000 0.000 2.563
F 3.083 3.083 2.563